KAgAu2: relaxed, PBE-GGA.

Properties
The value obtained for the energy of formation is 19 kJ/mol of formula units. The value obtained for the distance to the lowest polymorph of the same formula is 0.1330 eV per atom. As for the symmetry: Immm. The total magnetization comes out at 0.00 μB per formula unit.

```
KAgAu2
1.0
-1.471 2.756 5.535
1.471 -2.756 5.535
1.471 2.756 -5.535
K Ag Au
1 1 2
Direct
0.000 0.000 0.000
0.500 0.500 0.000
0.283 0.783 0.500
0.717 0.217 0.500
```

***

Pm2MgRu: relaxed, PBE-GGA.

Properties
The value obtained for the energy of formation is -20 kJ/mol of formula units. The value obtained for the distance to the lowest polymorph of the same formula is 0.1180 eV per atom. As for the symmetry: P4/mmm. The total magnetization comes out at 0.00 μB per formula unit.

```
Pm2MgRu
1.0
5.067 0.000 0.000
0.000 5.067 0.000
0.000 0.000 3.751
Pm Mg Ru
2 1 1
Direct
0.000 0.500 0.000
0.500 0.000 0.000
0.000 0.000 0.500
0.500 0.500 0.500
```